[1]
Entry from Alexandria via LeMat-Bulk: HfZrSi2 after structural relaxation (PBE).

Cell lengths 3.7880, 5.2930, 6.9660 Å; angles 90.00, 90.00, 90.00 degrees
Fractional coordinates of all 8 atoms:
Hf (0.0000, 0.1247, 0.0000)
Hf (0.0000, 0.8753, 0.5000)
Zr (0.5000, 0.3750, 0.3502)
Zr (0.5000, 0.6250, 0.8502)
Si (0.0000, 0.3882, 0.6319)
Si (0.0000, 0.6118, 0.1319)
Si (0.5000, 0.1102, 0.7187)
Si (0.5000, 0.8898, 0.2187)

The value obtained for the formation energy (no corrections) is -878 meV per atom. As for the energy above the most stable polymorph in this dataset: 0 meV/atom.

[2]
Entry from Alexandria via LeMat-Bulk: NbVNi2Ge after structural relaxation (PBE).

Cell lengths 4.2113, 4.2113, 4.5330 Å; angles 90.00, 90.00, 90.00 degrees
Fractional coordinates of all 5 atoms:
Nb (0.0000, 0.0000, 0.0000)
V (0.5000, 0.5000, 0.0000)
Ni (0.0000, 0.5000, 0.5000)
Ni (0.5000, 0.0000, 0.5000)
Ge (0.5000, 0.5000, 0.5000)

The calculation puts the formation energy at 627 meV per atom.

[3]
Entry from Alexandria via LeMat-Bulk: Tc2MoW3 after structural relaxation (PBE).

Cell lengths 7.4141, 7.4141, 5.2458 Å; angles 97.17, 97.17, 41.89 degrees
Fractional coordinates of all 12 atoms:
Tc (0.0801, 0.2487, 0.0588)
Tc (0.2487, 0.0801, 0.5588)
Tc (0.7513, 0.9199, 0.4412)
Tc (0.9199, 0.7513, 0.9412)
Mo (0.3158, 0.6842, 0.2500)
Mo (0.6842, 0.3158, 0.7500)
W (0.1912, 0.8088, 0.7500)
W (0.2487, 0.4109, 0.4260)
W (0.4109, 0.2487, 0.9260)
W (0.5891, 0.7513, 0.0740)
W (0.7513, 0.5891, 0.5740)
W (0.8088, 0.1912, 0.2500)

The calculation puts the formation energy at 244 meV per atom.

[4]
Entry from Alexandria via LeMat-Bulk: TiW after structural relaxation (PBE).

Cell lengths 5.7886, 5.7886, 5.7886 Å; angles 90.00, 90.00, 90.00 degrees
Fractional coordinates of all 8 atoms:
Ti (0.0000, 0.0000, 0.0000)
Ti (0.0000, 0.5000, 0.5000)
Ti (0.5000, 0.0000, 0.5000)
Ti (0.5000, 0.5000, 0.0000)
W (0.2500, 0.2500, 0.7500)
W (0.2500, 0.7500, 0.2500)
W (0.7500, 0.2500, 0.2500)
W (0.7500, 0.7500, 0.7500)

The calculation puts the formation energy at 2758 meV per atom.

[5]
Entry from Alexandria via LeMat-Bulk: Ce3InRh6 after structural relaxation (PBE).

Cell lengths 8.3300, 4.7849, 10.0796 Å; angles 90.00, 112.02, 90.00 degrees
Fractional coordinates of all 20 atoms:
Ce (0.0456, 0.2500, 0.2117)
Ce (0.3199, 0.2500, 0.0239)
Ce (0.3594, 0.7500, 0.3654)
Ce (0.6406, 0.2500, 0.6346)
Ce (0.6801, 0.7500, 0.9761)
Ce (0.9544, 0.7500, 0.7883)
In (0.1326, 0.7500, 0.5619)
In (0.8674, 0.2500, 0.4381)
Rh (0.1075, 0.2500, 0.7198)
Rh (0.1198, 0.7500, 0.0824)
Rh (0.2767, 0.2500, 0.5047)
Rh (0.3052, 0.7500, 0.8604)
Rh (0.4792, 0.2500, 0.8260)
Rh (0.4951, 0.7500, 0.6705)
Rh (0.5049, 0.2500, 0.3295)
Rh (0.5208, 0.7500, 0.1740)
Rh (0.6948, 0.2500, 0.1396)
Rh (0.7233, 0.7500, 0.4953)
Rh (0.8802, 0.2500, 0.9176)
Rh (0.8925, 0.7500, 0.2802)

The calculation puts the formation energy at -624 meV per atom.

[6]
Entry from Alexandria via LeMat-Bulk: LiLa2Sc after structural relaxation (PBE).

Cell lengths 3.6638, 3.6638, 8.6727 Å; angles 90.00, 90.00, 90.00 degrees
Fractional coordinates of all 4 atoms:
Li (0.0000, 0.0000, 0.0000)
La (0.0000, 0.0000, 0.4467)
La (0.5000, 0.5000, 0.7523)
Sc (0.5000, 0.5000, 0.1811)

The calculation puts the formation energy at 106 meV per atom. As for the energy above the most stable polymorph in this dataset: 18 meV/atom.

[7]
Entry from Alexandria via LeMat-Bulk: AcPr4Eu after structural relaxation (PBE).

Cell lengths 6.9725, 6.9725, 6.9725 Å; angles 60.00, 60.00, 60.00 degrees
Fractional coordinates of all 6 atoms:
Ac (0.0000, 0.0000, 0.0000)
Pr (0.1210, 0.6263, 0.6263)
Pr (0.6263, 0.1210, 0.6263)
Pr (0.6263, 0.6263, 0.1210)
Pr (0.6263, 0.6263, 0.6263)
Eu (0.2500, 0.2500, 0.2500)

The calculation puts the formation energy at 183 meV per atom.

[8]
Entry from Alexandria via LeMat-Bulk: GaMo2I after structural relaxation (PBE).

Cell lengths 4.2169, 4.2169, 18.5899 Å; angles 90.00, 90.00, 90.00 degrees
Fractional coordinates of all 16 atoms:
Ga (0.0000, 0.0000, 0.0000)
Ga (0.0000, 0.5000, 0.2500)
Ga (0.5000, 0.0000, 0.7500)
Ga (0.5000, 0.5000, 0.5000)
Mo (0.1760, 0.2500, 0.1250)
Mo (0.2500, 0.6760, 0.3750)
Mo (0.2500, 0.8240, 0.8750)
Mo (0.3240, 0.2500, 0.6250)
Mo (0.6760, 0.7500, 0.6250)
Mo (0.7500, 0.1760, 0.8750)
Mo (0.7500, 0.3240, 0.3750)
Mo (0.8240, 0.7500, 0.1250)
I (0.0000, 0.0000, 0.5000)
I (0.0000, 0.5000, 0.7500)
I (0.5000, 0.0000, 0.2500)
I (0.5000, 0.5000, 0.0000)

The value obtained for the formation energy (no corrections) is 904 meV per atom. As for the energy above the most stable polymorph in this dataset: 210 meV/atom.

These records have size of the total moment values of 0.000; 0.001; 0.000; 1.486; 0.000; 0.002; 6.911; 0.000 μB per formula unit, in the order they appear.
These records have VASP energy values of -8.21; -6.45; -11.49; -7.67; -7.09; -4.42; -5.40; -5.66 eV per atom, in the order they appear.